1.
Below is a relaxed structure of ScFeSnHg, with properties calculated at the PBE-GGA level.

```
data_ScFeSnHg
_space_group_name_H-M_alt 'P 1'
_space_group_IT_number 1
_cell_length_a 4.792
_cell_length_b 4.792
_cell_length_c 4.792
_cell_angle_alpha 60.00
_cell_angle_beta 60.00
_cell_angle_gamma 60.00
loop_
_space_group_symop_operation_xyz
'x,y,z'
loop_
_atom_site_label
_atom_site_type_symbol
_atom_site_fract_x
_atom_site_fract_y
_atom_site_fract_z
Sc1 Sc 0.000 0.000 0.000
Fe1 Fe 0.750 0.750 0.750
Sn1 Sn 0.500 0.500 0.500
Hg1 Hg 0.250 0.250 0.250
```

Computed properties:
Crystal system = cubic
Offset from the most stable computed form = 28 kJ/mol of formula units

2.
Below is a relaxed structure of ScFeSnHg, with properties calculated at the PBE-GGA level.

```
data_ScFeSnHg
_space_group_name_H-M_alt 'P 1'
_space_group_IT_number 1
_cell_length_a 4.699
_cell_length_b 4.699
_cell_length_c 4.699
_cell_angle_alpha 60.00
_cell_angle_beta 60.00
_cell_angle_gamma 60.00
loop_
_space_group_symop_operation_xyz
'x,y,z'
loop_
_atom_site_label
_atom_site_type_symbol
_atom_site_fract_x
_atom_site_fract_y
_atom_site_fract_z
Sc1 Sc 0.000 0.000 0.000
Fe1 Fe 0.500 0.500 0.500
Sn1 Sn 0.250 0.250 0.250
Hg1 Hg 0.750 0.750 0.750
```

Computed properties:
Crystal system = cubic
Offset from the most stable computed form = 0 kJ/mol of formula units

3.
Below is a relaxed structure of ScTlFeHg, with properties calculated at the PBE-GGA level.

```
data_ScTlFeHg
_space_group_name_H-M_alt 'P 1'
_space_group_IT_number 1
_cell_length_a 4.834
_cell_length_b 4.834
_cell_length_c 4.834
_cell_angle_alpha 60.00
_cell_angle_beta 60.00
_cell_angle_gamma 60.00
loop_
_space_group_symop_operation_xyz
'x,y,z'
loop_
_atom_site_label
_atom_site_type_symbol
_atom_site_fract_x
_atom_site_fract_y
_atom_site_fract_z
Sc1 Sc 0.000 0.000 0.000
Tl1 Tl 0.500 0.500 0.500
Fe1 Fe 0.750 0.750 0.750
Hg1 Hg 0.250 0.250 0.250
```

Computed properties:
Crystal system = cubic
Offset from the most stable computed form = 36 kJ/mol of formula units

4.
Below is a relaxed structure of ScTlFeHg, with properties calculated at the PBE-GGA level.

```
data_ScTlFeHg
_space_group_name_H-M_alt 'P 1'
_space_group_IT_number 1
_cell_length_a 4.735
_cell_length_b 4.735
_cell_length_c 4.735
_cell_angle_alpha 60.00
_cell_angle_beta 60.00
_cell_angle_gamma 60.00
loop_
_space_group_symop_operation_xyz
'x,y,z'
loop_
_atom_site_label
_atom_site_type_symbol
_atom_site_fract_x
_atom_site_fract_y
_atom_site_fract_z
Sc1 Sc 0.000 0.000 0.000
Tl1 Tl 0.250 0.250 0.250
Fe1 Fe 0.500 0.500 0.500
Hg1 Hg 0.750 0.750 0.750
```

Computed properties:
Crystal system = cubic
Offset from the most stable computed form = 0 kJ/mol of formula units

5.
Below is a relaxed structure of SrFeHgSe3, with properties calculated at the PBE-GGA level.

```
data_SrFeHgSe3
_space_group_name_H-M_alt 'P 1'
_space_group_IT_number 1
_cell_length_a 7.202
_cell_length_b 7.202
_cell_length_c 10.748
_cell_angle_alpha 90.00
_cell_angle_beta 90.00
_cell_angle_gamma 147.20
loop_
_space_group_symop_operation_xyz
'x,y,z'
loop_
_atom_site_label
_atom_site_type_symbol
_atom_site_fract_x
_atom_site_fract_y
_atom_site_fract_z
Sr1 Sr 0.223 0.777 0.750
Sr2 Sr 0.777 0.223 0.250
Fe1 Fe 0.000 0.000 0.000
Fe2 Fe 0.000 0.000 0.500
Hg1 Hg 0.484 0.516 0.250
Hg2 Hg 0.516 0.484 0.750
Se1 Se 0.107 0.893 0.250
Se2 Se 0.374 0.626 0.048
Se3 Se 0.374 0.626 0.452
Se4 Se 0.626 0.374 0.548
Se5 Se 0.626 0.374 0.952
Se6 Se 0.893 0.107 0.750
```

Computed properties:
Crystal system = orthorhombic
Offset from the most stable computed form = 54 kJ/mol of formula units

6.
Below is a relaxed structure of SrFeHgSe3, with properties calculated at the PBE-GGA level.

```
data_SrFeHgSe3
_space_group_name_H-M_alt 'P 1'
_space_group_IT_number 1
_cell_length_a 6.924
_cell_length_b 6.924
_cell_length_c 11.274
_cell_angle_alpha 90.00
_cell_angle_beta 90.00
_cell_angle_gamma 145.17
loop_
_space_group_symop_operation_xyz
'x,y,z'
loop_
_atom_site_label
_atom_site_type_symbol
_atom_site_fract_x
_atom_site_fract_y
_atom_site_fract_z
Sr1 Sr 0.244 0.756 0.750
Sr2 Sr 0.756 0.244 0.250
Fe1 Fe 0.043 0.957 0.250
Fe2 Fe 0.957 0.043 0.750
Hg1 Hg 0.500 0.500 0.000
Hg2 Hg 0.500 0.500 0.500
Se1 Se 0.144 0.856 0.074
Se2 Se 0.144 0.856 0.426
Se3 Se 0.435 0.565 0.250
Se4 Se 0.565 0.435 0.750
Se5 Se 0.856 0.144 0.574
Se6 Se 0.856 0.144 0.926
```

Computed properties:
Crystal system = orthorhombic
Offset from the most stable computed form = 0 kJ/mol of formula units

7.
Below is a relaxed structure of FeSiTcHg, with properties calculated at the PBE-GGA level.

```
data_FeSiTcHg
_space_group_name_H-M_alt 'P 1'
_space_group_IT_number 1
_cell_length_a 4.372
_cell_length_b 4.372
_cell_length_c 4.372
_cell_angle_alpha 60.00
_cell_angle_beta 60.00
_cell_angle_gamma 60.00
loop_
_space_group_symop_operation_xyz
'x,y,z'
loop_
_atom_site_label
_atom_site_type_symbol
_atom_site_fract_x
_atom_site_fract_y
_atom_site_fract_z
Fe1 Fe 0.000 0.000 0.000
Si1 Si 0.750 0.750 0.750
Tc1 Tc 0.500 0.500 0.500
Hg1 Hg 0.250 0.250 0.250
```

Computed properties:
Crystal system = cubic
Offset from the most stable computed form = 0 kJ/mol of formula units

8.
Below is a relaxed structure of FeSiTcHg, with properties calculated at the PBE-GGA level.

```
data_FeSiTcHg
_space_group_name_H-M_alt 'P 1'
_space_group_IT_number 1
_cell_length_a 4.417
_cell_length_b 4.417
_cell_length_c 4.417
_cell_angle_alpha 60.00
_cell_angle_beta 60.00
_cell_angle_gamma 60.00
loop_
_space_group_symop_operation_xyz
'x,y,z'
loop_
_atom_site_label
_atom_site_type_symbol
_atom_site_fract_x
_atom_site_fract_y
_atom_site_fract_z
Fe1 Fe 0.000 0.000 0.000
Si1 Si 0.750 0.750 0.750
Tc1 Tc 0.250 0.250 0.250
Hg1 Hg 0.500 0.500 0.500
```

Computed properties:
Crystal system = cubic
Offset from the most stable computed form = 120 kJ/mol of formula units

Quick rundown of VASP energy, same order as above: -4.688; -4.762; -4.124; -4.217; -4.002; -4.096; -5.697; -5.386 eV per atom
Quick rundown of mass density, same order as above: 9.0; 9.5; 10.5; 11.2; 6.4; 6.2; 10.7; 10.4 g/cm3